# Sm4Cu2Au PBE optimized geometry
# - formation energy (eV per atom) = -0.23
data_Sm4Cu2Au
_chemical_formula_sum 'Sm12 Cu6 Au3'
_cell_length_a 5.0444
_cell_length_b 5.0444
_cell_length_c 24.6195
_cell_angle_alpha 90.00
_cell_angle_beta 90.00
_cell_angle_gamma 120.00
_space_group_name_H-M_alt 'R -3 m'
_space_group_IT_number 166
_space_group_name_Hall '-R 3 2"'
loop_
_atom_site_label
_atom_site_type_symbol
_atom_site_fract_x
_atom_site_fract_y
_atom_site_fract_z
_atom_site_occupancy
Sm1 Sm 0.0000 0.0000 0.1216 1
Sm2 Sm 0.0000 0.0000 0.3725 1
Cu1 Cu 0.0000 0.0000 0.2522 1
Au1 Au 0.0000 0.0000 0.5000 1

---

# SmCu4Au4 PBE optimized geometry
# - formation energy (eV per atom) = -0.08
data_SmCu4Au4
_chemical_formula_sum 'Sm2 Cu8 Au8'
_cell_length_a 8.250
_cell_length_b 8.250
_cell_length_c 4.722
_cell_angle_alpha 90.00
_cell_angle_beta 90.00
_cell_angle_gamma 90.00
_space_group_name_H-M_alt 'I 4/m'
_space_group_IT_number 87
_space_group_name_Hall '-I 4'
loop_
_atom_site_label
_atom_site_type_symbol
_atom_site_fract_x
_atom_site_fract_y
_atom_site_fract_z
_atom_site_occupancy
Sm1 Sm 0.000 0.000 0.000 1
Cu1 Cu 0.106 0.202 0.500 1
Au1 Au 0.088 0.355 0.000 1

---

# SmCuAu PBE optimized geometry
# - formation energy (eV per atom) = -0.37
data_SmCuAu
_chemical_formula_sum 'Sm4 Cu4 Au4'
_cell_length_a 6.481
_cell_length_b 6.481
_cell_length_c 6.481
_cell_angle_alpha 90.00
_cell_angle_beta 90.00
_cell_angle_gamma 90.00
_space_group_name_H-M_alt 'F -4 3 m'
_space_group_IT_number 216
_space_group_name_Hall 'F -4 2 3'
loop_
_atom_site_label
_atom_site_type_symbol
_atom_site_fract_x
_atom_site_fract_y
_atom_site_fract_z
_atom_site_occupancy
Sm1 Sm 0.000 0.000 0.000 1
Cu1 Cu 0.250 0.250 0.750 1
Au1 Au 0.000 0.000 0.500 1

---

# Sm4Cu3Au PBE optimized geometry
# - formation energy (eV per atom) = -0.36
data_Sm4Cu3Au
_chemical_formula_sum 'Sm4 Cu3 Au1'
_cell_length_a 3.901
_cell_length_b 4.602
_cell_length_c 10.582
_cell_angle_alpha 90.00
_cell_angle_beta 90.00
_cell_angle_gamma 90.00
_space_group_name_H-M_alt 'P m m 2'
_space_group_IT_number 25
loop_
_space_group_symop_operation_xyz
'x,y,z'
'-x,-y,z'
'-x,y,z'
'x,-y,z'
loop_
_atom_site_label
_atom_site_type_symbol
_atom_site_fract_x
_atom_site_fract_y
_atom_site_fract_z
_atom_site_occupancy
Sm1 Sm 0.000 0.000 0.000 1
Sm2 Sm 0.000 0.500 0.272 1
Sm3 Sm 0.500 0.000 0.488 1
Sm4 Sm 0.500 0.500 0.775 1
Cu1 Cu 0.000 0.500 0.556 1
Cu2 Cu 0.500 0.000 0.203 1
Cu3 Cu 0.500 0.500 0.066 1
Au1 Au 0.000 0.000 0.709 1

---

# Sm4Cu2Au PBE optimized geometry
# - formation energy (eV per atom) = -0.17
data_Sm4Cu2Au
_chemical_formula_sum 'Sm12 Cu6 Au3'
_cell_length_a 4.8206
_cell_length_b 4.8206
_cell_length_c 27.8599
_cell_angle_alpha 90.00
_cell_angle_beta 90.00
_cell_angle_gamma 120.00
_space_group_name_H-M_alt 'R -3 m'
_space_group_IT_number 166
_space_group_name_Hall '-R 3 2"'
loop_
_atom_site_label
_atom_site_type_symbol
_atom_site_fract_x
_atom_site_fract_y
_atom_site_fract_z
_atom_site_occupancy
Sm1 Sm 0.0000 0.0000 0.1196 1
Sm2 Sm 0.0000 0.0000 0.2975 1
Cu1 Cu 0.0000 0.0000 0.4033 1
Au1 Au 0.0000 0.0000 0.5000 1

---

# SmCuAu PBE optimized geometry
# - formation energy (eV per atom) = -0.55
data_SmCuAu
_chemical_formula_sum 'Sm4 Cu4 Au4'
_cell_length_a 10.370
_cell_length_b 4.421
_cell_length_c 7.053
_cell_angle_alpha 90.00
_cell_angle_beta 129.59
_cell_angle_gamma 90.00
_space_group_name_H-M_alt 'C 1 2/m 1'
_space_group_IT_number 12
loop_
_space_group_symop_operation_xyz
'x,y,z'
'-x,-y,-z'
'-x,y,-z'
'x,-y,z'
'x+1/2,y+1/2,z'
'-x+1/2,-y+1/2,-z'
'-x+1/2,y+1/2,-z'
'x+1/2,-y+1/2,z'
loop_
_atom_site_label
_atom_site_type_symbol
_atom_site_fract_x
_atom_site_fract_y
_atom_site_fract_z
_atom_site_occupancy
Sm1 Sm 0.045 0.000 0.292 1
Cu1 Cu 0.147 0.500 0.691 1
Au1 Au 0.178 0.500 0.126 1

---

# Sm7Cu2Au2 PBE optimized geometry
# - formation energy (eV per atom) = -0.13
data_Sm7Cu2Au2
_chemical_formula_sum 'Sm14 Cu4 Au4'
_cell_length_a 7.753
_cell_length_b 11.066
_cell_length_c 7.262
_cell_angle_alpha 90.00
_cell_angle_beta 90.00
_cell_angle_gamma 90.00
_space_group_name_H-M_alt 'C m m m'
_space_group_IT_number 65
_space_group_name_Hall '-C 2 2'
loop_
_atom_site_label
_atom_site_type_symbol
_atom_site_fract_x
_atom_site_fract_y
_atom_site_fract_z
_atom_site_occupancy
Sm1 Sm 0.000 0.000 0.000 1
Sm2 Sm 0.000 0.500 0.255 1
Sm3 Sm 0.250 0.250 0.269 1
Cu1 Cu 0.000 0.295 0.000 1
Au1 Au 0.183 0.000 0.500 1

---

# SmCuAu2 PBE optimized geometry
# - formation energy (eV per atom) = -0.59
data_SmCuAu2
_chemical_formula_sum 'Sm8 Cu8 Au16'
_cell_length_a 15.272
_cell_length_b 7.583
_cell_length_c 5.438
_cell_angle_alpha 90.00
_cell_angle_beta 90.00
_cell_angle_gamma 90.00
_space_group_name_H-M_alt 'P n m a'
_space_group_IT_number 62
loop_
_space_group_symop_operation_xyz
'x,y,z'
'-x,-y,-z'
'-x+1/2,-y,z+1/2'
'x+1/2,y,-z+1/2'
'x+1/2,-y+1/2,-z+1/2'
'-x+1/2,y+1/2,z+1/2'
'-x,y+1/2,-z'
'x,-y+1/2,z'
loop_
_atom_site_label
_atom_site_type_symbol
_atom_site_fract_x
_atom_site_fract_y
_atom_site_fract_z
_atom_site_occupancy
Sm1 Sm 0.107 0.250 0.240 1
Sm2 Sm 0.140 0.750 0.468 1
Cu1 Cu 0.069 0.750 0.971 1
Cu2 Cu 0.183 0.250 0.736 1
Au1 Au 0.035 0.056 0.738 1
Au2 Au 0.215 0.556 0.949 1